# Li2ZrSe

A geometry-optimized Li2ZrSe structure (PBE, the Alexandria database).

abc: 5.116 5.116 5.680
angles: 115.76 115.76 37.76
Fractional coordinates of all 4 atoms:
Li1 0.000 0.000 0.000
Li2 0.208 0.208 0.775
Zr1 0.390 0.390 0.407
Se1 0.666 0.666 0.398

## Properties
**Calculated total energy**: -4.379 eV per atom
**Space-group type**: Cm